This record from Alexandria describes Zr3CrAg after structural relaxation. The functional is PBE.

Cell lengths 4.8319, 4.8319, 4.8319 Å; angles 90.00, 90.00, 90.00 degrees
Sites, in units of the cell vectors:
Zr 0.0000 0.0000 0.5000
Zr 0.0000 0.5000 0.0000
Zr 0.5000 0.0000 0.0000
Cr 0.0000 0.0000 0.0000
Ag 0.5000 0.5000 0.5000

For the distance to the lowest polymorph of the same formula, the calculation gives 0.000 eV/atom. As for the electronic total energy: -7.077 eV/atom. Its space-group type is Pm-3m, No. 221. The value obtained for the calculated formation energy is 0.547 eV/atom.